#A
The following is a DFT calculation (PBE) of a relaxed CuOs crystal.

Properties
total magnetization: 0.0 Bohr magnetons per cell
V: 27 Å³ per cell
N(E_F): 2.72 states/eV/f.u.

Cell: 2.599 2.599 3.980 Å, 90.00 90.00 90.00°
Element x y z (fractional)
Cu (0.000, 0.000, 0.000)
Os (0.500, 0.500, 0.500)


#B
The following is a DFT calculation (PBE) of a relaxed CuOs crystal.

Properties
total magnetization: 0.0 Bohr magnetons per cell
V: 26 Å³ per cell
N(E_F): 1.85 states/eV/f.u.

Cell: 2.963 2.963 2.963 Å, 90.00 90.00 90.00°
Element x y z (fractional)
Os (0.500, 0.500, 0.500)
Cu (0.000, 0.000, 0.000)


#C
The following is a DFT calculation (PBE) of a relaxed CuOs crystal.

Properties
total magnetization: 9.7 Bohr magnetons per cell
V: 297 Å³ per cell
N(E_F): 3.55 states/eV/f.u.

Cell: 6.670 6.670 6.670 Å, 90.00 90.00 90.00°
Last column: magnetic moment on the atom in μB.
Element x y z (fractional)
Cu (0.000, 0.500, 0.750)  0.20
Cu (0.500, 0.750, 0.000)  0.20
Cu (0.250, 0.000, 0.500)  0.20
Cu (0.750, 0.000, 0.500)  0.20
Cu (0.500, 0.250, 0.000)  0.20
Cu (0.000, 0.500, 0.250)  0.20
Os (0.750, 0.500, 0.000)  1.36
Os (0.500, 0.000, 0.250)  1.36
Os (0.500, 0.000, 0.750)  1.36
Os (0.000, 0.750, 0.500)  1.36
Os (0.250, 0.500, 0.000)  1.36
Os (0.000, 0.250, 0.500)  1.36


#D
The following is a DFT calculation (PBE) of a relaxed CuOs crystal.

Properties
total magnetization: 0.0 Bohr magnetons per cell
V: 27 Å³ per cell
N(E_F): 3.37 states/eV/f.u.

Cell: 4.582 4.582 4.582 Å, 34.05 34.05 34.05°
Element x y z (fractional)
Cu (0.000, 0.000, 0.000)
Os (0.500, 0.500, 0.500)


Computed relative energies in units of eV/atom: #A 0.171; #B 0.217; #C 2.039; #D 0.000


#A
The following is a DFT calculation (PBE) of a relaxed CuOs crystal.

Properties
total magnetization: 1.4 Bohr magnetons per cell
V: 30 Å³ per cell
N(E_F): 1.83 states/eV/f.u.

Cell: 3.494 3.494 3.494 Å, 60.00 60.00 60.00°
Last column: magnetic moment on the atom in μB.
Element x y z (fractional)
Os (0.500, 0.500, 0.500)  1.28
Cu (0.000, 0.000, 0.000)  0.09


#B
The following is a DFT calculation (PBE) of a relaxed CuOs crystal.

Properties
total magnetization: 0.0 Bohr magnetons per cell
V: 57 Å³ per cell
N(E_F): 2.19 states/eV/f.u.

Cell: 2.642 2.642 9.405 Å, 90.00 90.00 120.00°
Element x y z (fractional)
Cu (0.333, 0.667, 0.051)
Cu (0.667, 0.333, 0.551)
Os (0.333, 0.667, 0.320)
Os (0.667, 0.333, 0.820)


#C
The following is a DFT calculation (PBE) of a relaxed CuOs crystal.

Properties
total magnetization: 0.0 Bohr magnetons per cell
V: 159 Å³ per cell
N(E_F): 1.54 states/eV/f.u.

Cell: 4.325 7.944 4.635 Å, 90.00 90.00 90.00°
Element x y z (fractional)
Cu (0.000, 0.000, 0.997)
Cu (0.500, 0.835, 0.840)
Cu (0.500, 0.665, 0.340)
Cu (0.500, 0.335, 0.340)
Cu (0.000, 0.500, 0.497)
Cu (0.500, 0.165, 0.840)
Os (0.000, 0.835, 0.493)
Os (0.500, 0.500, 0.839)
Os (0.000, 0.165, 0.493)
Os (0.000, 0.335, 0.993)
Os (0.500, 0.000, 0.339)
Os (0.000, 0.665, 0.993)


Computed relative energies in units of eV/atom: #A 1.205; #B 0.269; #C 0.000


#A
The following is a DFT calculation (PBE) of a relaxed CuOs3 crystal.

Properties
total magnetization: 0.0 Bohr magnetons per cell
V: 56 Å³ per cell
N(E_F): 3.10 states/eV/f.u.

Cell: 2.718 8.911 2.718 Å, 98.77 60.00 98.77°
Element x y z (fractional)
Os (0.500, 0.500, 0.500)
Os (0.250, 0.749, 0.250)
Os (0.750, 0.251, 0.750)
Cu (0.000, 0.000, 0.000)


#B
The following is a DFT calculation (PBE) of a relaxed CuOs3 crystal.

Properties
total magnetization: 0.0 Bohr magnetons per cell
V: 56 Å³ per cell
N(E_F): 4.37 states/eV/f.u.

Cell: 4.304 4.304 4.304 Å, 60.00 60.00 60.00°
Element x y z (fractional)
Cu (0.000, 0.000, 0.000)
Os (0.500, 0.500, 0.500)
Os (0.750, 0.750, 0.750)
Os (0.250, 0.250, 0.250)


Computed relative energies in units of eV/atom: #A 0.000; #B 0.392